# HoSc3 (PBE, optimized geometry)
# **Calculated total energy**: -0.2124 hartree per atom
# **Formation enthalpy at 0 K**: 114 meV per atom
data_HoSc3
_space_group_name_H-M_alt 'P 1'
_space_group_IT_number 1
_cell_length_a 5.2906
_cell_length_b 5.2906
_cell_length_c 5.2906
_cell_angle_alpha 60.00
_cell_angle_beta 60.00
_cell_angle_gamma 60.00
loop_
_space_group_symop_operation_xyz
'x,y,z'
loop_
_atom_site_label
_atom_site_fract_x
_atom_site_fract_y
_atom_site_fract_z
Ho1 0.0000 0.0000 0.0000
Sc1 0.2500 0.2500 0.2500
Sc2 0.5000 0.5000 0.5000
Sc3 0.7500 0.7500 0.7500